Entry 1:
# PBE SiPt2Rh, optimized geometry
data_SiPt2Rh
_chemical_formula_sum 'Si1 Pt2 Rh1'
_space_group_name_H-M_alt 'P 4 m m'
_space_group_IT_number 99
_cell_length_a 2.855
_cell_length_b 2.855
_cell_length_c 7.085
_cell_angle_alpha 90.00
_cell_angle_beta 90.00
_cell_angle_gamma 90.00
loop_
_space_group_symop_operation_xyz
'x,y,z'
'-y,x,z'
'-x,-y,z'
'y,-x,z'
'-x,y,z'
'y,x,z'
'x,-y,z'
'-y,-x,z'
loop_
_atom_site_label
_atom_site_fract_x
_atom_site_fract_y
_atom_site_fract_z
_atom_site_occupancy
Si1 0.000 0.000 0.000 1
Pt1 0.000 0.000 0.515 1
Pt2 0.500 0.500 0.219 1
Rh1 0.500 0.500 0.804 1
# energy relative to the elements, uncorrected = -0.421 eV per atom
# crystal system = tetragonal
# ρ = 14.99 g cm⁻³
# N(E_F) = 2.2 states/eV/cell

=====

Entry 2:
# PBE NdTlSe2O8, optimized geometry
data_NdTlSe2O8
_chemical_formula_sum 'Nd2 Tl2 Se4 O16'
_space_group_name_H-M_alt 'C 1 2/m 1'
_space_group_IT_number 12
_cell_length_a 9.367
_cell_length_b 5.928
_cell_length_c 8.680
_cell_angle_alpha 90.00
_cell_angle_beta 91.29
_cell_angle_gamma 90.00
loop_
_space_group_symop_operation_xyz
'x,y,z'
'-x,-y,-z'
'-x,y,-z'
'x,-y,z'
'x+1/2,y+1/2,z'
'-x+1/2,-y+1/2,-z'
'-x+1/2,y+1/2,-z'
'x+1/2,-y+1/2,z'
loop_
_atom_site_label
_atom_site_fract_x
_atom_site_fract_y
_atom_site_fract_z
_atom_site_occupancy
Nd1 0.000 0.000 0.000 1
Tl1 0.000 0.000 0.500 1
Se1 0.138 0.500 0.774 1
O1 0.035 0.270 0.801 1
O2 0.203 0.500 0.600 1
O3 0.238 0.000 0.084 1
# energy relative to the elements, uncorrected = -1.349 eV per atom
# crystal system = monoclinic
# ρ = 4.37 g cm⁻³
# N(E_F) = 0.0 states/eV/cell

=====

Entry 3:
# PBE Ac4Ce3Te8, optimized geometry
data_Ac4Ce3Te8
_chemical_formula_sum 'Ac8 Ce6 Te16'
_space_group_name_H-M_alt 'C 1 2/m 1'
_space_group_IT_number 12
_cell_length_a 13.082
_cell_length_b 13.095
_cell_length_c 9.210
_cell_angle_alpha 90.00
_cell_angle_beta 134.66
_cell_angle_gamma 90.00
loop_
_space_group_symop_operation_xyz
'x,y,z'
'-x,-y,-z'
'-x,y,-z'
'x,-y,z'
'x+1/2,y+1/2,z'
'-x+1/2,-y+1/2,-z'
'-x+1/2,y+1/2,-z'
'x+1/2,-y+1/2,z'
loop_
_atom_site_label
_atom_site_fract_x
_atom_site_fract_y
_atom_site_fract_z
_atom_site_occupancy
Ac1 0.000 0.000 0.000 1
Ac2 0.000 0.500 0.500 1
Ac3 0.250 0.250 0.000 1
Ce1 0.000 0.000 0.500 1
Ce2 0.250 0.250 0.500 1
Te1 0.000 0.245 0.500 1
Te2 0.000 0.257 0.000 1
Te3 0.247 0.500 0.010 1
Te4 0.248 0.500 0.486 1
# energy relative to the elements, uncorrected = -1.448 eV per atom
# crystal system = monoclinic
# ρ = 6.95 g cm⁻³
# N(E_F) = 51.2 states/eV/cell

=====

Entry 4:
# PBE AgSeBr6, optimized geometry
data_AgSeBr6
_chemical_formula_sum 'Ag1 Se1 Br6'
_space_group_name_H-M_alt 'P -1'
_space_group_IT_number 2
_cell_length_a 6.489
_cell_length_b 7.014
_cell_length_c 7.257
_cell_angle_alpha 117.06
_cell_angle_beta 116.08
_cell_angle_gamma 90.15
loop_
_space_group_symop_operation_xyz
'x,y,z'
'-x,-y,-z'
loop_
_atom_site_label
_atom_site_fract_x
_atom_site_fract_y
_atom_site_fract_z
_atom_site_occupancy
Ag1 0.000 0.000 0.000 1
Se1 0.500 0.500 0.000 1
Br1 0.093 0.230 0.830 1
Br2 0.247 0.738 0.838 1
Br3 0.457 0.285 0.585 1
# energy relative to the elements, uncorrected = -0.065 eV per atom
# crystal system = triclinic
# ρ = 4.33 g cm⁻³
# N(E_F) = 5.0 states/eV/cell

=====

Entry 5:
# PBE VGePd4, optimized geometry
data_VGePd4
_chemical_formula_sum 'V1 Ge1 Pd4'
_space_group_name_H-M_alt 'P 4/m m m'
_space_group_IT_number 123
_space_group_name_Hall '-P 4 2'
_cell_length_a 4.134
_cell_length_b 4.134
_cell_length_c 5.935
_cell_angle_alpha 90.00
_cell_angle_beta 90.00
_cell_angle_gamma 90.00
loop_
_atom_site_label
_atom_site_fract_x
_atom_site_fract_y
_atom_site_fract_z
_atom_site_occupancy
V1 0.000 0.000 0.000 1
Ge1 0.500 0.500 0.500 1
Pd1 0.000 0.500 0.253 1
# formation energy from the elements = -137.6 meV/atom
# crystal system = tetragonal
# ρ = 8.99 g cm⁻³
# N(E_F) = 5.7 states/eV/cell

=====

Entry 6:
# PBE InCuSe2, optimized geometry
data_InCuSe2
_chemical_formula_sum 'In1 Cu1 Se2'
_space_group_name_H-M_alt 'P 4/m m m'
_space_group_IT_number 123
_space_group_name_Hall '-P 4 2'
_cell_length_a 3.361
_cell_length_b 3.361
_cell_length_c 7.305
_cell_angle_alpha 90.00
_cell_angle_beta 90.00
_cell_angle_gamma 90.00
loop_
_atom_site_label
_atom_site_fract_x
_atom_site_fract_y
_atom_site_fract_z
_atom_site_occupancy
In1 0.000 0.000 0.000 1
Cu1 0.000 0.000 0.500 1
Se1 0.500 0.500 0.299 1
# energy relative to the elements, uncorrected = 0.150 eV per atom
# crystal system = tetragonal
# ρ = 6.77 g cm⁻³
# N(E_F) = 2.9 states/eV/cell

=====

Entry 7:
# PBE Sm3Y5Ho4, optimized geometry
data_Sm3Y5Ho4
_chemical_formula_sum 'Sm6 Y10 Ho8'
_space_group_name_H-M_alt 'C 1 2/m 1'
_space_group_IT_number 12
_cell_length_a 16.075
_cell_length_b 5.902
_cell_length_c 9.264
_cell_angle_alpha 90.00
_cell_angle_beta 116.22
_cell_angle_gamma 90.00
loop_
_space_group_symop_operation_xyz
'x,y,z'
'-x,-y,-z'
'-x,y,-z'
'x,-y,z'
'x+1/2,y+1/2,z'
'-x+1/2,-y+1/2,-z'
'-x+1/2,y+1/2,-z'
'x+1/2,-y+1/2,z'
loop_
_atom_site_label
_atom_site_fract_x
_atom_site_fract_y
_atom_site_fract_z
_atom_site_occupancy
Sm1 0.000 0.000 0.000 1
Sm2 0.208 0.500 0.229 1
Y1 0.000 0.500 0.000 1
Y2 0.075 0.000 0.700 1
Y3 0.173 0.000 0.388 1
Ho1 0.081 0.500 0.441 1
Ho2 0.211 0.500 0.878 1
# relative energy among the computed polymorphs = 217 meV per atom
# formation energy from the elements = 236.7 meV/atom
# crystal system = monoclinic
# ρ = 6.55 g cm⁻³
# N(E_F) = 38.8 states/eV/cell

=====

Entry 8:
# PBE IrOsBr2, optimized geometry
data_IrOsBr2
_chemical_formula_sum 'Ir4 Os4 Br8'
_space_group_name_H-M_alt 'F m -3 m'
_space_group_IT_number 225
_space_group_name_Hall '-F 4 2 3'
_cell_length_a 6.486
_cell_length_b 6.486
_cell_length_c 6.486
_cell_angle_alpha 90.00
_cell_angle_beta 90.00
_cell_angle_gamma 90.00
loop_
_atom_site_label
_atom_site_fract_x
_atom_site_fract_y
_atom_site_fract_z
_atom_site_occupancy
Ir1 0.000 0.000 0.000 1
Os1 0.000 0.000 0.500 1
Br1 0.250 0.250 0.250 1
# energy relative to the elements, uncorrected = 1.652 eV per atom
# relative energy among the computed polymorphs = 1258 meV per atom
# crystal system = cubic
# ρ = 13.20 g cm⁻³
# N(E_F) = 28.1 states/eV/cell

=====

Entry 9:
# PBE Nd3AlI3, optimized geometry
data_Nd3AlI3
_chemical_formula_sum 'Nd24 Al8 I24'
_space_group_name_H-M_alt 'I 41 3 2'
_space_group_IT_number 214
_space_group_name_Hall 'I 4bd 2c 3'
_cell_length_a 12.620
_cell_length_b 12.620
_cell_length_c 12.620
_cell_angle_alpha 90.00
_cell_angle_beta 90.00
_cell_angle_gamma 90.00
loop_
_atom_site_label
_atom_site_fract_x
_atom_site_fract_y
_atom_site_fract_z
_atom_site_occupancy
Nd1 0.113 0.363 0.125 1
Al1 0.125 0.125 0.125 1
I1 0.117 0.133 0.625 1
# energy relative to the elements, uncorrected = -0.970 eV per atom
# crystal system = cubic
# ρ = 5.56 g cm⁻³
# N(E_F) = 26.2 states/eV/cell

=====

Entry 10:
# PBE MnP4, optimized geometry
data_MnP4
_chemical_formula_sum 'Mn2 P8'
_space_group_name_H-M_alt 'I m -3 m'
_space_group_IT_number 229
_space_group_name_Hall '-I 4 2 3'
_cell_length_a 5.407
_cell_length_b 5.407
_cell_length_c 5.407
_cell_angle_alpha 90.00
_cell_angle_beta 90.00
_cell_angle_gamma 90.00
loop_
_atom_site_label
_atom_site_fract_x
_atom_site_fract_y
_atom_site_fract_z
_atom_site_occupancy
Mn1 0.000 0.000 0.000 1
P1 0.250 0.250 0.250 1
# formation energy from the elements = 371.6 meV/atom
# crystal system = cubic
# ρ = 3.76 g cm⁻³
# N(E_F) = 4.8 states/eV/cell

=====

Entry 11:
# PBE USiS3, optimized geometry
data_USiS3
_chemical_formula_sum 'U4 Si4 S12'
_space_group_name_H-M_alt 'I m a 2'
_space_group_IT_number 46
_cell_length_a 7.085
_cell_length_b 8.650
_cell_length_c 8.140
_cell_angle_alpha 90.00
_cell_angle_beta 90.00
_cell_angle_gamma 90.00
loop_
_space_group_symop_operation_xyz
'x,y,z'
'-x,-y,z'
'-x+1/2,y,z'
'x+1/2,-y,z'
'x+1/2,y+1/2,z+1/2'
'-x+1/2,-y+1/2,z+1/2'
'-x,y+1/2,z+1/2'
'x,-y+1/2,z+1/2'
loop_
_atom_site_label
_atom_site_fract_x
_atom_site_fract_y
_atom_site_fract_z
_atom_site_occupancy
U1 0.250 0.226 0.000 1
Si1 0.250 0.584 0.730 1
S1 0.003 0.742 0.244 1
S2 0.250 0.520 0.987 1
# energy relative to the elements, uncorrected = -0.629 eV per atom
# crystal system = orthorhombic
# ρ = 4.82 g cm⁻³
# N(E_F) = 29.8 states/eV/cell

=====

Entry 12:
# PBE PrAlGePd, optimized geometry
data_PrAlGePd
_chemical_formula_sum 'Pr3 Al3 Ge3 Pd3'
_space_group_name_H-M_alt 'R 3 m'
_space_group_IT_number 160
_space_group_name_Hall 'R 3 -2"'
_cell_length_a 4.2876
_cell_length_b 4.2876
_cell_length_c 15.8716
_cell_angle_alpha 90.00
_cell_angle_beta 90.00
_cell_angle_gamma 120.00
loop_
_atom_site_label
_atom_site_fract_x
_atom_site_fract_y
_atom_site_fract_z
_atom_site_occupancy
Pr1 0.0000 0.0000 0.0000 1
Al1 0.0000 0.0000 0.7929 1
Ge1 0.0000 0.0000 0.2162 1
Pd1 0.0000 0.0000 0.5006 1
# formation energy from the elements = -757.1 meV/atom
# crystal system = trigonal
# ρ = 6.84 g cm⁻³
# N(E_F) = 6.8 states/eV/cell